[1]
Nd2Pu12Ir7 | PBE-GGA | optimized geometry

abc: 10.4906 10.4906 4.7949
angles: 90.00 90.00 120.00
Space group P-6 (No. 174)
Symmetry-distinct sites (fractional):
Nd (0.0000, 0.0000, 0.0000)
Nd (0.3333, 0.6667, 0.5000)
Pu (0.1210, 0.8018, 0.5000)
Pu (0.3741, 0.0155, 0.0000)
Pu (0.3783, 0.2358, 0.0000)
Pu (0.5309, 0.1008, 0.5000)
Ir (0.1469, 0.6726, 0.0000)
Ir (0.2384, 0.0872, 0.5000)
Ir (0.6667, 0.3333, 0.0000)

## Properties
magnetic moment: 32.07 μB/f.u.
uncorrected energy: -11.664 eV per atom
ρ: 16.577 g cm⁻³

=====

[2]
Nd3PuIr3 | PBE-GGA | optimized geometry

abc: 11.176 9.085 7.125
angles: 90.00 102.97 90.00
Space group C2/m (No. 12)
Symmetry-distinct sites (fractional):
Nd (0.000, 0.200, 0.000)
Nd (0.000, 0.289, 0.500)
Nd (0.214, 0.500, 0.992)
Pu (0.209, 0.000, 0.461)
Ir (0.052, 0.000, 0.713)
Ir (0.246, 0.255, 0.279)

## Properties
magnetic moment: 4.74 μB/f.u.
uncorrected energy: -8.367 eV per atom
ρ: 11.808 g cm⁻³